The following is a DFT calculation (PBE) of a relaxed structure of NaAc6CoIr.

Cell and atoms, written as POSCAR:
```
NaAc6CoIr
1.0
7.523 0.000 0.000
-3.761 6.515 0.000
0.000 0.000 7.866
Na Ac Co Ir
1 6 1 1
Direct
0.000 0.000 0.000
0.361 0.008 0.705
0.361 0.353 0.295
0.647 0.008 0.295
0.647 0.639 0.705
0.992 0.353 0.705
0.992 0.639 0.295
0.667 0.333 0.500
0.333 0.667 0.500
```

Summary:
SG = P312, No. 149
DOS at the Fermi energy = 7.782 states/eV/cell
Spin magnetization = 0.0 μB per formula unit

The following is a DFT calculation (PBE) of a relaxed structure of AcNdCoIr.

Cell and atoms, written as POSCAR:
```
AcNdCoIr
1.0
7.215 0.000 0.000
0.000 7.215 0.000
0.000 0.000 7.215
Ac Nd Co Ir
4 4 4 4
Direct
0.000 0.000 0.000
0.000 0.500 0.500
0.500 0.000 0.500
0.500 0.500 0.000
0.000 0.000 0.500
0.000 0.500 0.000
0.500 0.000 0.000
0.500 0.500 0.500
0.250 0.250 0.750
0.250 0.750 0.250
0.750 0.250 0.250
0.750 0.750 0.750
0.250 0.250 0.250
0.250 0.750 0.750
0.750 0.250 0.750
0.750 0.750 0.250
```

Summary:
SG = F-43m, No. 216
DOS at the Fermi energy = 8.040 states/eV/cell
Spin magnetization = 0.6 μB per formula unit

| no. | energy of formation (eV/atom) |
| --- | --- |
| 1 | -0.09 |
| 2 | -0.18 |